Below is an optimized crystal structure of K3Ga5Ag6, with properties calculated at the PBE level.

Unit cell a=4.571 b=13.509 c=11.026 alpha=90.00 beta=90.00 gamma=90.00
Fractional positions:
K1 0.250 0.103 0.249
K2 0.250 0.397 0.249
K3 0.250 0.750 0.255
K4 0.750 0.250 0.745
K5 0.750 0.603 0.751
K6 0.750 0.897 0.751
Ga1 0.250 0.074 0.845
Ga2 0.250 0.426 0.845
Ga3 0.250 0.640 0.519
Ga4 0.250 0.750 0.919
Ga5 0.250 0.860 0.519
Ga6 0.750 0.140 0.481
Ga7 0.750 0.250 0.081
Ga8 0.750 0.360 0.481
Ga9 0.750 0.574 0.155
Ga10 0.750 0.926 0.155
Ag1 0.250 0.050 0.593
Ag2 0.250 0.250 0.510
Ag3 0.250 0.250 0.967
Ag4 0.250 0.450 0.593
Ag5 0.250 0.571 0.020
Ag6 0.250 0.929 0.020
Ag7 0.750 0.071 0.980
Ag8 0.750 0.429 0.980
Ag9 0.750 0.550 0.407
Ag10 0.750 0.750 0.033
Ag11 0.750 0.750 0.490
Ag12 0.750 0.950 0.407

Values from the calculation:
The formation energy is -0.002 eV per atom. As for the total energy: -2.540 eV/atom. The symmetry is No. 59.